# 1
# Rb2AgHgI6

A geometry-optimized Rb2AgHgI6 structure (PBE, Alexandria via LeMat-Bulk).

Results
* crystal system: triclinic
* energy relative to the lowest polymorph listed for this composition: 0.0 meV/atom

Cell: 9.6680 9.6052 9.6338 Å, 47.40 48.97 47.42°
Fractional positions:
1 I 0.1190 0.0486 0.3459
2 I 0.6120 0.0507 0.8514
3 I 0.5133 0.5836 0.7573
4 Rb 0.0284 0.0897 0.7668
5 Ag 0.3160 0.3162 0.0514
6 I 0.5911 0.1569 0.3227
7 I 0.0202 0.5816 0.2516
8 Rb 0.6039 0.5427 0.3363
9 I 0.0414 0.4754 0.7804
10 Hg 0.8162 0.8162 0.5515

=====

# 2
# AgHgSI

A geometry-optimized AgHgSI structure (PBE, Alexandria via LeMat-Bulk).

Results
* crystal system: orthorhombic
* energy relative to the lowest polymorph listed for this composition: 0.0 meV/atom

Cell: 4.6408 10.1458 10.4130 Å, 90.00 90.00 90.00°
Fractional positions:
1 S 0.5000 0.2613 0.5179
2 Hg 0.5000 0.2366 0.7500
3 Hg 0.5000 0.7634 0.2500
4 I 0.0000 0.4588 0.2500
5 S 0.5000 0.7387 0.4821
6 Ag 0.0000 0.2094 0.0755
7 Hg 0.5000 0.5000 0.0000
8 Ag 0.0000 0.7906 0.5755
9 Ag 0.0000 0.7906 0.9245
10 I 0.0000 0.9949 0.2500
11 Ag 0.0000 0.2094 0.4245
12 S 0.5000 0.2613 0.9821
13 I 0.0000 0.5412 0.7500
14 S 0.5000 0.7387 0.0179
15 I 0.0000 0.0051 0.7500
16 Hg 0.5000 0.5000 0.5000

=====

# 3
# AgHgS2I

A geometry-optimized AgHgS2I structure (PBE, Alexandria via LeMat-Bulk).

Results
* calculated total energy: -9.71 eV for the cell shown
* crystal system: tetragonal

Cell: 4.8685 6.9714 4.8685 Å, 90.00 90.00 90.00°
Each line ends with the local moment (μB).
Fractional positions:
1 S 0.0000 0.0000 0.5000  0.24
2 I 0.0000 0.5000 0.0000  0.01
3 Hg 0.0000 0.0000 0.0000  0.00
4 Ag 0.5000 0.5000 0.5000  0.00
5 S 0.5000 0.0000 0.0000  0.45

=====

# 4
# AgHgSI

A geometry-optimized AgHgSI structure (PBE, Alexandria via LeMat-Bulk).

Results
* crystal system: monoclinic
* energy relative to the lowest polymorph listed for this composition: 100.9 meV/atom

Cell: 4.3578 4.3995 8.6261 Å, 61.14 75.37 60.31°
Fractional positions:
1 I 0.3770 0.8943 0.3517
2 S 0.6749 0.7569 0.8933
3 Ag 0.3421 0.3858 0.9300
4 Hg 0.7352 0.9511 0.5786

=====

# 5
# AgHgSI

A geometry-optimized AgHgSI structure (PBE, Alexandria via LeMat-Bulk).

Results
* crystal system: orthorhombic
* energy relative to the lowest polymorph listed for this composition: 0.0 meV/atom

Cell: 7.2325 7.8165 8.7606 Å, 90.00 90.00 90.00°
Fractional positions:
1 Ag 0.1079 0.1801 0.3817
2 S 0.9914 0.3600 0.1489
3 Hg 0.7279 0.2320 0.0259
4 S 0.0086 0.8600 0.3511
5 Ag 0.3921 0.8199 0.8817
6 I 0.4935 0.6256 0.1391
7 S 0.4914 0.1400 0.8511
8 Ag 0.6079 0.3199 0.6183
9 I 0.5065 0.1256 0.3609
10 Hg 0.7721 0.7680 0.5259
11 Ag 0.8921 0.6801 0.1183
12 I 0.0065 0.3744 0.6391
13 Hg 0.2721 0.7320 0.4741
14 I 0.9935 0.8744 0.8609
15 Hg 0.2279 0.2680 0.9741
16 S 0.5086 0.6400 0.6489

=====

# 6
# Ag2Hg4SbI5

A geometry-optimized Ag2Hg4SbI5 structure (PBE, Alexandria via LeMat-Bulk).

Results
* calculated total energy: -20.54 eV for the cell shown
* crystal system: orthorhombic

Cell: 6.6901 7.5855 9.6030 Å, 90.00 90.00 116.17°
Fractional positions:
1 I 0.0309 0.3197 0.7125
2 Hg 0.5839 0.0000 0.7893
3 Hg 0.5839 0.0000 0.2107
4 Hg 0.5462 0.4249 0.0000
5 Sb 0.3045 0.0000 0.0000
6 I 0.0309 0.3197 0.2875
7 I 0.3698 0.0000 0.5000
8 I 0.7112 0.6803 0.2875
9 Hg 0.1212 0.5751 0.0000
10 Ag 0.0049 0.5978 0.5000
11 Ag 0.4071 0.4022 0.5000
12 I 0.7112 0.6803 0.7125

=====

# 7
# AgHgSb2I

A geometry-optimized AgHgSb2I structure (PBE, Alexandria via LeMat-Bulk).

Results
* crystal system: tetragonal
* energy relative to the lowest polymorph listed for this composition: 0.0 meV/atom

Cell: 5.4563 5.4563 5.8257 Å, 90.00 90.00 90.00°
Each line ends with the local moment (μB).
Fractional positions:
1 Sb 0.0000 0.5000 0.0000  0.25
2 Sb 0.5000 0.0000 0.0000  0.25
3 Hg 0.5000 0.5000 0.5000  0.04
4 Ag 0.0000 0.0000 0.0000  0.03
5 I 0.0000 0.0000 0.5000  0.07

=====

# 8
# AgHgSb2I

A geometry-optimized AgHgSb2I structure (PBE, Alexandria via LeMat-Bulk).

Results
* crystal system: tetragonal
* energy relative to the lowest polymorph listed for this composition: 271.3 meV/atom

Cell: 5.5670 5.5670 6.2203 Å, 90.00 90.00 90.00°
Each line ends with the local moment (μB).
Fractional positions:
1 Sb 0.5000 0.0000 0.0000  0.28
2 Ag 0.5000 0.5000 0.5000  0.01
3 I 0.0000 0.0000 0.5000  0.17
4 Hg 0.0000 0.0000 0.0000  0.02
5 Sb 0.0000 0.5000 0.0000  0.28

=====

# 9
# AgHg2SeI2

A geometry-optimized AgHg2SeI2 structure (PBE, Alexandria via LeMat-Bulk).

Results
* calculated total energy: -21.42 eV for the cell shown
* crystal system: orthorhombic

Cell: 6.5415 7.3461 9.1853 Å, 113.57 90.00 90.00°
Fractional positions:
1 I 0.7043 0.0876 0.6717
2 I 0.7043 0.4159 0.3283
3 Ag 0.9521 0.0008 0.0000
4 I 0.2043 0.9124 0.3283
5 Hg 0.2047 0.1196 0.6775
6 Hg 0.2047 0.4422 0.3225
7 Hg 0.7047 0.5578 0.6775
8 Se 0.7032 0.7371 0.0000
9 Hg 0.7047 0.8804 0.3225
10 Se 0.2032 0.2629 0.0000
11 Ag 0.4521 0.9992 0.0000
12 I 0.2043 0.5841 0.6717

=====

# 10
# AgHg2SeI

A geometry-optimized AgHg2SeI structure (PBE, Alexandria via LeMat-Bulk).

Results
* calculated total energy: -8.58 eV for the cell shown
* crystal system: tetragonal

Cell: 5.5238 5.5238 5.1743 Å, 90.00 90.00 90.00°
Fractional positions:
1 Ag 0.0000 0.0000 0.5000
2 Hg 0.0000 0.5000 0.0000
3 Se 0.0000 0.0000 0.0000
4 I 0.5000 0.5000 0.5000
5 Hg 0.5000 0.0000 0.0000

=====

# 11
# Ag2HgSeI

A geometry-optimized Ag2HgSeI structure (PBE, Alexandria via LeMat-Bulk).

Results
* calculated total energy: -11.03 eV for the cell shown
* crystal system: tetragonal

Cell: 5.1750 5.1750 5.5028 Å, 90.00 90.00 90.00°
Fractional positions:
1 Ag 0.5000 0.0000 0.0000
2 I 0.5000 0.5000 0.5000
3 Se 0.0000 0.0000 0.0000
4 Hg 0.0000 0.0000 0.5000
5 Ag 0.0000 0.5000 0.0000

=====

# 12
# Ag2SnHgI6

A geometry-optimized Ag2SnHgI6 structure (PBE, Alexandria via LeMat-Bulk).

Results
* calculated total energy: -22.37 eV for the cell shown
* crystal system: triclinic

Cell: 7.8617 7.9620 7.8404 Å, 68.95 79.65 60.57°
Fractional positions:
1 I 0.5116 0.7331 0.7246
2 Ag 0.1662 0.0495 0.8085
3 I 0.8118 0.0638 0.7619
4 I 0.1681 0.4251 0.7520
5 Ag 0.5244 0.4608 0.5413
6 Sn 0.8269 0.8387 0.5072
7 I 0.5061 0.2840 0.2583
8 I 0.7984 0.5945 0.2530
9 I 0.1860 0.9177 0.2202
10 Hg 0.1621 0.2944 0.1882